Record 1
A relaxed structure of Mo2PtSe, computed with PBE.

```
4
Lattice="3.030 0.000 0.000 0.000 3.030 0.000 0.000 0.000 6.788" Properties=species:S:1:pos:R:3 pbc="T T T"
Mo 0.000 0.000 1.577
Mo 0.000 0.000 5.211
Pt 1.515 1.515 3.394
Se 1.515 1.515 0.000
```

Calculated values
Total magnetic moment = 0.000 μB per formula unit
Space-group type = P4/mmm, No. 123
Crystal system = tetragonal
ΔE_f (raw) = -1.4 kJ/mol of formula units



Record 2
A relaxed structure of CsAg2TeCl8, computed with PBE.

```
12
Lattice="6.620 0.000 0.000 0.307 6.776 0.000 2.855 2.470 8.800" Properties=species:S:1:pos:R:3 pbc="T T T"
Cs 0.000 0.000 0.000
Ag 3.882 3.010 1.806
Ag 5.900 6.237 6.994
Te 1.428 1.235 4.400
Cl 2.844 3.370 4.074
Cl 3.629 7.080 5.886
Cl 1.800 3.496 0.301
Cl 2.901 6.983 2.373
Cl 6.882 2.263 6.427
Cl 7.983 5.751 8.499
Cl 6.154 2.167 2.914
Cl 6.939 5.877 4.726
```

Calculated values
Total magnetic moment = 0.000 μB per formula unit
Space-group type = P-1, No. 2
Crystal system = triclinic
ΔE_f (raw) = -851.3 kJ/mol of formula units



Record 3
A relaxed structure of LaHfSiW2, computed with PBE.

```
5
Lattice="4.808 0.000 0.000 0.000 4.808 0.000 0.000 0.000 5.171" Properties=species:S:1:pos:R:3 pbc="T T T"
La 0.000 0.000 0.000
Hf 0.000 0.000 2.586
Si 2.404 2.404 2.586
W 0.000 2.404 0.000
W 2.404 0.000 0.000
```

Calculated values
Total magnetic moment = 0.000 μB per formula unit
Space-group type = P4/mmm, No. 123
Crystal system = tetragonal
ΔE_f (raw) = 1241.6 kJ/mol of formula units



Record 4
A relaxed structure of ZrNi4Pt, computed with PBE.

```
6
Lattice="0.000 3.399 3.399 3.399 0.000 3.399 3.399 3.399 0.000" Properties=species:S:1:pos:R:3 pbc="T T T"
Zr 0.000 0.000 0.000
Ni 4.243 2.554 2.554
Ni 2.554 4.243 2.554
Ni 2.554 2.554 4.243
Ni 4.243 4.243 4.243
Pt 1.699 1.699 1.699
```

Calculated values
Total magnetic moment = 0.227 μB per formula unit
Space-group type = F-43m, No. 216
Crystal system = cubic
Calculated formation energy = -0.497 eV per atom



Record 5
A relaxed structure of Nb3Pd2Rh3, computed with PBE.

```
8
Lattice="3.978 0.000 0.000 0.000 3.985 0.000 0.000 0.000 7.930" Properties=species:S:1:pos:R:3 pbc="T T T"
Nb 0.000 0.000 0.000
Nb 1.989 0.000 2.081
Nb 1.989 0.000 5.849
Pd 0.000 1.993 2.017
Pd 0.000 1.993 5.913
Rh 0.000 0.000 3.965
Rh 1.989 1.993 0.000
Rh 1.989 1.993 3.965
```

Calculated values
Total magnetic moment = 0.000 μB per formula unit
Space-group type = Pmmm, No. 47
Crystal system = orthorhombic
Calculated formation energy = -0.391 eV per atom
ΔE to the lowest computed polymorph = 0.11 eV per formula unit



Record 6
A relaxed structure of Nd6Rh2CCl3, computed with PBE.

```
12
Lattice="3.499 -6.069 0.000 3.499 6.069 0.000 -2.245 0.000 7.394" Properties=species:S:1:pos:R:3 pbc="T T T"
Nd 1.079 1.880 1.448
Nd -0.046 0.000 5.937
Nd 1.079 -1.880 1.448
Nd 3.675 1.880 5.946
Nd 4.800 0.000 1.457
Nd 3.675 -1.880 5.946
Rh 3.499 2.036 0.000
Rh 3.499 -2.036 0.000
C 0.000 0.000 0.000
Cl 2.377 4.174 3.697
Cl 2.377 0.000 3.697
Cl 2.377 -4.174 3.697
```

Calculated values
Total magnetic moment = 0.000 μB per formula unit
Space-group type = C2/m, No. 12
Crystal system = monoclinic
ΔE_f (raw) = -1214.2 kJ/mol of formula units